Record 1
Entry from the Alexandria database: a relaxed structure of Be2ZnCd2Pd5 (GGA-PBE).

Cell: 9.6504 9.6504 3.1415 Å, 90.00 90.00 90.00°
Last column: nearest neighbours and their distance in Å.
Fractional coordinates of all 20 atoms:
Be 0.1264 0.3736 0.0000  6 Pd 2.30-2.33
Be 0.3736 0.8736 0.0000  6 Pd 2.30-2.33
Be 0.6264 0.1264 0.0000  6 Pd 2.30-2.33
Be 0.8736 0.6264 0.0000  6 Pd 2.30-2.33
Zn 0.0000 0.0000 0.0000  8 Pd 2.64
Zn 0.5000 0.5000 0.0000  8 Pd 2.64
Cd 0.1758 0.6758 0.0000  3 Be 2.70-2.95, 6 Pd 2.87-2.94
Cd 0.3242 0.1758 0.0000  3 Be 2.70-2.95, 6 Pd 2.87-2.94
Cd 0.6758 0.8242 0.0000  3 Be 2.70-2.95, 6 Pd 2.87-2.94
Cd 0.8242 0.3242 0.0000  3 Be 2.70-2.95, 6 Pd 2.87-2.94
Pd 0.0000 0.5000 0.5000  4 Be 2.33
Pd 0.0688 0.2089 0.5000  2 Be 2.30
Pd 0.2089 0.9312 0.5000  2 Be 2.30
Pd 0.2911 0.4312 0.5000  2 Be 2.30
Pd 0.4312 0.7089 0.5000  2 Be 2.30
Pd 0.5000 0.0000 0.5000  4 Be 2.33
Pd 0.5688 0.2911 0.5000  2 Be 2.30
Pd 0.7089 0.5688 0.5000  2 Be 2.30
Pd 0.7911 0.0688 0.5000  2 Be 2.30
Pd 0.9312 0.7911 0.5000  2 Be 2.30

Computed properties:
**Calculated volume**: 14.6 A^3/atom
**ΔH_f (0 K)**: -467.5 meV per atom
**Uncorrected energy**: -4.120 eV per atom
**Space group**: P4/mbm

Record 2
Entry from the Alexandria database: a relaxed structure of Zr2Be2CdPd5 (GGA-PBE).

Cell: 9.7562 9.7562 3.2716 Å, 90.00 90.00 90.00°
Last column: nearest neighbours and their distance in Å.
Fractional coordinates of all 20 atoms:
Zr 0.1767 0.3233 0.0000  3 Be 2.80-2.95, 10 Pd 2.94-3.08
Zr 0.3233 0.8233 0.0000  3 Be 2.80-2.95, 10 Pd 2.94-3.08
Zr 0.6767 0.1767 0.0000  3 Be 2.80-2.95, 10 Pd 2.94-3.08
Zr 0.8233 0.6767 0.0000  3 Be 2.80-2.95, 10 Pd 2.94-3.08
Be 0.1201 0.6201 0.0000  6 Pd 2.32-2.33
Be 0.3799 0.1201 0.0000  6 Pd 2.32-2.33
Be 0.6201 0.8799 0.0000  6 Pd 2.32-2.33
Be 0.8799 0.3799 0.0000  6 Pd 2.32-2.33
Cd 0.0000 0.0000 0.0000  8 Pd 2.78
Cd 0.5000 0.5000 0.0000  8 Pd 2.78
Pd 0.0000 0.5000 0.5000  4 Be 2.33
Pd 0.0695 0.7803 0.5000  2 Be 2.32
Pd 0.2197 0.0695 0.5000  2 Be 2.32
Pd 0.2803 0.5695 0.5000  2 Be 2.32
Pd 0.4305 0.2803 0.5000  2 Be 2.32
Pd 0.5000 0.0000 0.5000  4 Be 2.33
Pd 0.5695 0.7197 0.5000  2 Be 2.32
Pd 0.7197 0.4305 0.5000  2 Be 2.32
Pd 0.7803 0.9305 0.5000  2 Be 2.32
Pd 0.9305 0.2197 0.5000  2 Be 2.32

Computed properties:
**Calculated volume**: 15.6 A^3/atom
**ΔH_f (0 K)**: -562.3 meV per atom
**Uncorrected energy**: -5.705 eV per atom
**Space group**: P4/mbm

Please write out number 2 again, unchanged.
Entry from the Alexandria database: a relaxed structure of Zr2Be2CdPd5 (GGA-PBE).

Cell: 9.7562 9.7562 3.2716 Å, 90.00 90.00 90.00°
Last column: nearest neighbours and their distance in Å.
Fractional coordinates of all 20 atoms:
Zr 0.1767 0.3233 0.0000  3 Be 2.80-2.95, 10 Pd 2.94-3.08
Zr 0.3233 0.8233 0.0000  3 Be 2.80-2.95, 10 Pd 2.94-3.08
Zr 0.6767 0.1767 0.0000  3 Be 2.80-2.95, 10 Pd 2.94-3.08
Zr 0.8233 0.6767 0.0000  3 Be 2.80-2.95, 10 Pd 2.94-3.08
Be 0.1201 0.6201 0.0000  6 Pd 2.32-2.33
Be 0.3799 0.1201 0.0000  6 Pd 2.32-2.33
Be 0.6201 0.8799 0.0000  6 Pd 2.32-2.33
Be 0.8799 0.3799 0.0000  6 Pd 2.32-2.33
Cd 0.0000 0.0000 0.0000  8 Pd 2.78
Cd 0.5000 0.5000 0.0000  8 Pd 2.78
Pd 0.0000 0.5000 0.5000  4 Be 2.33
Pd 0.0695 0.7803 0.5000  2 Be 2.32
Pd 0.2197 0.0695 0.5000  2 Be 2.32
Pd 0.2803 0.5695 0.5000  2 Be 2.32
Pd 0.4305 0.2803 0.5000  2 Be 2.32
Pd 0.5000 0.0000 0.5000  4 Be 2.33
Pd 0.5695 0.7197 0.5000  2 Be 2.32
Pd 0.7197 0.4305 0.5000  2 Be 2.32
Pd 0.7803 0.9305 0.5000  2 Be 2.32
Pd 0.9305 0.2197 0.5000  2 Be 2.32

Computed properties:
**Calculated volume**: 15.6 A^3/atom
**ΔH_f (0 K)**: -562.3 meV per atom
**Uncorrected energy**: -5.705 eV per atom
**Space group**: P4/mbm

Question: Which of these has the highest calculated volume?
Answer: Zr2Be2CdPd5

Question: What is the formula in the first record?
Answer: Be2ZnCd2Pd5

Question: The highest ΔH_f (0 K) belongs to which entry?
Answer: Be2ZnCd2Pd5